Entry 1:
DFT (PBE-GGA) results for CdPCl4 after structural relaxation.

- formation energy without anion corrections (eV/atom) = 0.815
- magnetic moment (μB per atom) = 0.64

The structure in POSCAR format:
```
CdPCl4
1.0
-0.4786 -5.3550 -2.4841
-3.7133 -0.8385 -4.5370
2.1388 -0.9418 -5.4419
Cd P Cl
1 1 4
Cartesian
0.0000 0.0000 0.0000
-1.5398 -5.3515 -9.3473
-2.6345 -3.0927 -6.9457
-1.0091 -5.3621 -5.9141
0.3061 -3.1445 -7.4004
-0.7686 -2.6713 -4.6659
```



Entry 2:
DFT (PBE-GGA) results for Cd2PCl after structural relaxation.

- energy above the lowest structure with this stoichiometry (kJ/mol of atoms) = 13.63
- formation energy without anion corrections (eV/atom) = -0.303
- magnetic moment (μB per atom) = 0.00

The structure in POSCAR format:
```
Cd2PCl
1.0
-3.2923 -3.0926 -1.1023
-0.2687 -1.3014 4.4542
-3.4102 3.3539 0.7747
Cd P Cl
2 1 1
Cartesian
-4.1328 -1.7591 3.7709
-2.3526 0.4381 2.0951
-3.2277 -1.8667 1.3691
-3.6871 0.9676 4.5958
```



Entry 3:
DFT (PBE-GGA) results for Cd3PCl2 after structural relaxation.

- formation energy without anion corrections (eV/atom) = -0.401
- magnetic moment (μB per atom) = 0.00

The structure in POSCAR format:
```
Cd3PCl2
1.0
7.2018 0.0000 0.0000
0.0000 8.6215 -0.7487
0.0000 -4.8765 7.1492
Cd P Cl
6 2 4
Cartesian
7.0731 4.6666 3.0532
3.4721 3.3696 0.8365
7.0731 0.3755 5.5640
3.4721 -0.9216 3.3473
1.9135 3.7345 6.3825
5.5144 0.0105 0.0180
0.0969 2.8949 4.9475
3.6978 0.8501 1.4529
4.3738 5.1402 2.6535
0.7728 3.9500 0.6193
4.3738 -0.2050 5.7811
0.7728 -1.3952 3.7469
```



Entry 4:
DFT (PBE-GGA) results for Cd2PCl after structural relaxation.

- energy above the lowest structure with this stoichiometry (kJ/mol of atoms) = 54.13
- formation energy without anion corrections (eV/atom) = 0.117
- magnetic moment (μB per atom) = 0.00

The structure in POSCAR format:
```
Cd2PCl
1.0
3.2873 -0.0082 0.0000
-0.7647 3.1971 0.0000
0.0000 0.0000 9.2581
Cd Cl P
2 1 1
Cartesian
0.0000 0.0000 9.2475
1.2613 1.5944 2.3387
0.0000 0.0000 4.0055
1.2613 1.5944 7.5534
```